# LiGdCdSn

Crystalline LiGdCdSn at its relaxed geometry (PBE-GGA, Alexandria via LeMat-Bulk).

Cell and atoms, written as CIF:
```
data_LiGdCdSn
_chemical_formula_sum 'Li1 Gd1 Cd1 Sn1'
_cell_length_a 5.137
_cell_length_b 5.137
_cell_length_c 5.137
_cell_angle_alpha 60.00
_cell_angle_beta 60.00
_cell_angle_gamma 60.00
_symmetry_space_group_name_H-M 'P 1'
_symmetry_Int_Tables_number 1
_symmetry_space_group_name_Hall 'P 1'
loop_
_atom_site_label
_atom_site_type_symbol
_atom_site_fract_x
_atom_site_fract_y
_atom_site_fract_z
Gd1 Gd 0.500 0.500 0.500
Li1 Li 0.000 0.000 0.000
Sn1 Sn 0.250 0.250 0.250
Cd1 Cd 0.750 0.750 0.750
```

Results
formation energy = -455.7 meV/atom